HgIrRu4 | GGA-PBE | relaxed

Properties
- DFT total energy: -0.5124 Ry per atom

```
6
Lattice="0.000 3.625 3.625 3.625 0.000 3.625 3.625 3.625 0.000" Properties=species:S:1:pos:R:3 pbc="T T T"
Hg 0.000 0.000 0.000
Ir 5.437 5.437 5.437
Ru 2.722 2.722 2.722
Ru 4.527 4.527 2.722
Ru 4.527 2.722 4.527
Ru 2.722 4.527 4.527
```

***

Sc2AsCl | GGA-PBE | relaxed

Properties
- Energy relative to the elements, uncorrected: -28.80 kcal/mol of atoms

```
4
Lattice="3.826 0.000 0.000 0.000 3.826 0.000 0.000 0.000 5.372" Properties=species:S:1:pos:R:3 pbc="T T T"
Sc 0.000 0.000 0.000
Sc 1.913 1.913 2.686
As 0.000 0.000 2.686
Cl 1.913 1.913 0.000
```

***

InTeP | GGA-PBE | relaxed

Properties
- Energy relative to the elements, uncorrected: 0.53 kcal/mol of atoms
- Excess energy over the best structure of this formula in the dataset: 0.00 eV per formula unit

```
6
Lattice="3.223 0.000 0.000 -0.101 6.673 0.000 -0.097 -0.011 7.454" Properties=species:S:1:pos:R:3 pbc="T T T"
In 0.773 1.275 0.645
In 2.251 5.388 6.809
Te 0.677 2.884 5.522
Te 2.348 3.778 1.932
P 0.758 0.679 3.470
P 2.267 5.984 3.983
```

***

SiH2F | GGA-PBE | relaxed

Properties
- Excess energy over the best structure of this formula in the dataset: 0.00 eV per formula unit

```
8
Lattice="-1.873 1.873 5.304 1.873 -1.873 5.304 1.873 1.873 -5.304" Properties=species:S:1:pos:R:3 pbc="T T T"
Si 0.000 0.000 0.000
Si 0.000 1.873 2.652
H 0.197 0.936 1.326
H -0.936 1.676 3.978
H -0.197 2.809 1.326
H 0.936 2.070 3.978
F 1.873 0.000 2.652
F 0.000 0.000 5.304
```